Entry 1:
Crystalline BiSeS2 at its relaxed geometry, computed with PBE-GGA.

The calculation puts the excess energy over the best structure of this formula in the dataset at 60.1 kJ/mol of formula units. The calculation puts the total magnetic moment at 0.00 μB per formula unit. The space group is R-3m, No. 166. The volume is 28.56 Å³/atom.

a b c (Å): 8.3937 8.3937 8.3937
angles (deg): 27.88 27.88 27.88
Atoms (fractional coordinates):
1 S 0.9005 0.9005 0.9005
2 S 0.0995 0.0995 0.0995
3 Bi 0.5000 0.5000 0.5000
4 Se 0.0000 0.0000 0.0000

=====

Entry 2:
Crystalline BiSe3S at its relaxed geometry, computed with PBE-GGA.

The calculation puts the excess energy over the best structure of this formula in the dataset at 304.3 kJ/mol of formula units. The calculation puts the total magnetic moment at 4.85 μB per formula unit. The space group is Pm-3m, No. 221. The volume is 35.70 Å³/atom.

a b c (Å): 5.6304 5.6304 5.6304
angles (deg): 90.00 90.00 90.00
Atoms (fractional coordinates):
1 Bi 0.0000 0.0000 0.0000
2 Se 0.0000 0.5000 0.0000
3 Se 0.5000 0.0000 0.0000
4 Se 0.0000 0.0000 0.5000
5 S 0.5000 0.5000 0.5000

=====

Entry 3:
Crystalline BiSe2S at its relaxed geometry, computed with PBE-GGA.

The calculation puts the excess energy over the best structure of this formula in the dataset at 0.0 kJ/mol of formula units. The calculation puts the total magnetic moment at 0.00 μB per formula unit. The space group is R-3m, No. 166. The volume is 31.62 Å³/atom.

a b c (Å): 8.4688 8.4688 8.4688
angles (deg): 29.02 29.02 29.02
Atoms (fractional coordinates):
1 S 0.0000 0.0000 0.0000
2 Se 0.0967 0.0967 0.0967
3 Se 0.9033 0.9033 0.9033
4 Bi 0.5000 0.5000 0.5000

=====

Entry 4:
Crystalline Bi5Se5S2 at its relaxed geometry, computed with PBE-GGA.

The calculation puts the total magnetic moment at 0.00 μB per formula unit. The space group is C2/m, No. 12. The volume is 29.19 Å³/atom. Its total energy is -4.08 eV/atom.

a b c (Å): 4.2723 7.2405 12.5089
angles (deg): 71.99 80.17 72.84
Atoms (fractional coordinates):
1 S 0.0428 0.7042 0.2102
2 Bi 0.8798 0.8096 0.4308
3 Bi 0.1202 0.1904 0.5692
4 Bi 0.6736 0.4776 0.1752
5 S 0.9572 0.2958 0.7898
6 Bi 0.3264 0.5224 0.8248
7 Se 0.2670 0.1126 0.3533
8 Se 0.6589 0.7324 0.9498
9 Bi 0.0000 0.0000 0.0000
10 Se 0.7330 0.8874 0.6467
11 Se 0.3411 0.2676 0.0502
12 Se 0.5000 0.5000 0.5000

=====

Entry 5:
Crystalline BiSe3S at its relaxed geometry, computed with PBE-GGA.

The calculation puts the excess energy over the best structure of this formula in the dataset at 0.0 kJ/mol of formula units. The calculation puts the total magnetic moment at 0.00 μB per formula unit. The space group is Pm-3m, No. 221. The volume is 23.73 Å³/atom.

a b c (Å): 4.9139 4.9139 4.9139
angles (deg): 90.00 90.00 90.00
Atoms (fractional coordinates):
1 Se 0.5000 0.0000 0.0000
2 Bi 0.5000 0.5000 0.5000
3 Se 0.0000 0.5000 0.0000
4 S 0.0000 0.0000 0.0000
5 Se 0.0000 0.0000 0.5000

=====

Entry 6:
Crystalline BiSeS3 at its relaxed geometry, computed with PBE-GGA.

The calculation puts the excess energy over the best structure of this formula in the dataset at 0.0 kJ/mol of formula units. The calculation puts the total magnetic moment at 0.00 μB per formula unit. The space group is Pm-3m, No. 221. The volume is 22.05 Å³/atom.

a b c (Å): 4.7948 4.7948 4.7948
angles (deg): 90.00 90.00 90.00
Atoms (fractional coordinates):
1 S 0.0000 0.5000 0.0000
2 Se 0.0000 0.0000 0.0000
3 S 0.5000 0.0000 0.0000
4 Bi 0.5000 0.5000 0.5000
5 S 0.0000 0.0000 0.5000

=====

Entry 7:
Crystalline Bi3SeS3 at its relaxed geometry, computed with PBE-GGA.

The calculation puts the excess energy over the best structure of this formula in the dataset at 0.0 kJ/mol of formula units. The calculation puts the total magnetic moment at 0.00 μB per formula unit. The space group is P2_1/m, No. 11. The volume is 29.35 Å³/atom.

a b c (Å): 3.9298 9.0858 11.5087
angles (deg): 89.79 90.00 90.00
Atoms (fractional coordinates):
1 Bi 0.7500 0.1521 0.8868
2 Bi 0.2500 0.8595 0.6451
3 S 0.7500 0.6279 0.6278
4 Se 0.2500 0.8758 0.3752
5 Bi 0.7500 0.1405 0.3549
6 S 0.2500 0.9151 0.8747
7 S 0.7500 0.6365 0.1292
8 Se 0.7500 0.1242 0.6248
9 Bi 0.2500 0.3849 0.6372
10 Bi 0.2500 0.8479 0.1132
11 Bi 0.7500 0.6151 0.3628
12 S 0.2500 0.3721 0.3722
13 S 0.2500 0.3635 0.8708
14 S 0.7500 0.0849 0.1253

=====

Entry 8:
Crystalline BiSeS2 at its relaxed geometry, computed with PBE-GGA.

The calculation puts the excess energy over the best structure of this formula in the dataset at 0.0 kJ/mol of formula units. The calculation puts the total magnetic moment at 0.00 μB per formula unit. The space group is P-1, No. 2. The volume is 28.88 Å³/atom.

a b c (Å): 4.3942 6.8057 11.3049
angles (deg): 135.36 80.79 103.39
Atoms (fractional coordinates):
1 S 0.6219 0.8388 0.1689
2 Bi 0.7327 0.7418 0.7167
3 S 0.7850 0.6239 0.9373
4 S 0.2150 0.3761 0.0627
5 Bi 0.2673 0.2582 0.2833
6 Se 0.8141 0.6627 0.4344
7 S 0.3781 0.1612 0.8311
8 Se 0.1859 0.3373 0.5656

=====

Entry 9:
Crystalline BiSeS2 at its relaxed geometry, computed with PBE-GGA.

The calculation puts the excess energy over the best structure of this formula in the dataset at 179.8 kJ/mol of formula units. The calculation puts the total magnetic moment at 0.00 μB per formula unit. The space group is Fm-3m, No. 225. The volume is 20.82 Å³/atom.

a b c (Å): 4.9018 4.9018 4.9018
angles (deg): 60.00 60.00 60.00
Atoms (fractional coordinates):
1 S 0.7500 0.7500 0.7500
2 S 0.2500 0.2500 0.2500
3 Se 0.0000 0.0000 0.0000
4 Bi 0.5000 0.5000 0.5000

=====

Entry 10:
Crystalline Bi2SeS at its relaxed geometry, computed with PBE-GGA.

The calculation puts the excess energy over the best structure of this formula in the dataset at 66.5 kJ/mol of formula units. The calculation puts the total magnetic moment at 0.00 μB per formula unit. The space group is Fm-3m, No. 225. The volume is 24.20 Å³/atom.

a b c (Å): 5.1541 5.1541 5.1541
angles (deg): 60.00 60.00 60.00
Atoms (fractional coordinates):
1 S 0.0000 0.0000 0.0000
2 Se 0.5000 0.5000 0.5000
3 Bi 0.2500 0.2500 0.2500
4 Bi 0.7500 0.7500 0.7500

=====

Entry 11:
Crystalline Bi2SeS at its relaxed geometry, computed with PBE-GGA.

The calculation puts the excess energy over the best structure of this formula in the dataset at 10.0 kJ/mol of formula units. The calculation puts the total magnetic moment at 0.00 μB per formula unit. The space group is R-3m, No. 166. The volume is 26.55 Å³/atom.

a b c (Å): 3.8848 3.8848 8.4304
angles (deg): 76.68 76.68 60.00
Atoms (fractional coordinates):
1 S 0.0000 0.0000 0.0000
2 Bi 0.2525 0.2525 0.2424
3 Bi 0.7475 0.7475 0.7576
4 Se 0.5000 0.5000 0.5000

=====

Entry 12:
Crystalline BiSe2S2 at its relaxed geometry, computed with PBE-GGA.

The calculation puts the excess energy over the best structure of this formula in the dataset at 0.0 kJ/mol of formula units. The calculation puts the total magnetic moment at 0.00 μB per formula unit. The space group is P4/mbm, No. 127. The volume is 23.80 Å³/atom.

a b c (Å): 8.5745 8.5745 3.2376
angles (deg): 90.00 90.00 90.00
Atoms (fractional coordinates):
1 S 0.7388 0.2388 0.0000
2 Se 0.3873 0.1127 0.5000
3 S 0.7612 0.7388 0.0000
4 Se 0.6127 0.8873 0.5000
5 Bi 0.5000 0.5000 0.0000
6 S 0.2612 0.7612 0.0000
7 Se 0.1127 0.6127 0.5000
8 Se 0.8873 0.3873 0.5000
9 S 0.2388 0.2612 0.0000
10 Bi 0.0000 0.0000 0.0000